Record 1
VASP calculation (PBEsol) on a relaxed SrCa3 crystal.

Its energy of formation from the pure elements is 0.02 eV/atom. The value obtained for the energy above the lowest structure with this stoichiometry is 9.0 meV/atom. Its space group is No. 187. The calculation puts the total magnetization at 0.0 μB per cell. The density of states at the Fermi level is 4.3 states/eV/f.u.

The structure in POSCAR format:
```
SrCa3
1.0
3.9287 0.0000 0.0000
-1.9644 3.4024 0.0000
0.0000 0.0000 12.9672
Sr Ca
1 3
direct
0.0000 0.0000 0.0000
0.0000 0.0000 0.5000
0.6667 0.3333 0.2572
0.6667 0.3333 0.7428
```

***

Record 2
VASP calculation (PBEsol) on a relaxed ScSi2Pb crystal.

For the formation energy (no corrections), the calculation gives -140.6 meV per atom. Its space group is No. 10. The calculation puts the total magnetization at 0.0 μB per cell. The density of states at the Fermi level is 1.9 states/eV/f.u.

The structure in POSCAR format:
```
ScSi2Pb
1.0
3.5292 0.0000 0.0000
0.0000 3.8212 0.0000
-0.9152 0.0000 6.0222
Sc Si Pb
1 2 1
direct
0.0000 0.0000 0.0000
0.4732 0.5000 0.8077
0.5268 0.5000 0.1923
0.0000 0.0000 0.5000
```